Record 1
First-principles (GGA-PBE) data for a geometry-optimized ErPuCo2 structure, as listed in Alexandria.

Cell: 3.7817 3.7954 10.5322 Å, 90.00 90.00 90.00°
With the nearest neighbours (Å) after each atom.
Space group Amm2 (No. 38)
One atom of each set of equivalent atoms:
1 Er 0.0000 0.0000 0.0000  7 Co 2.81-3.00
2 Pu 0.5000 0.0000 0.2835  6 Co 2.76-2.87
3 Co 0.0000 0.0000 0.7204  2 Co 2.41
4 Co 0.5000 0.0000 0.5791  2 Co 2.41

Summary:
ρ, Mg/m³: 11.6
DFT formation energy, eV per formula unit: -0.45
Final energy, eV per atom: -8.389
Magnetization, μB/atom: 1.078
Fermi-level density of states, states/eV per cell: 18.97

Record 2
First-principles (GGA-PBE) data for a geometry-optimized TaBeCo2 structure, as listed in Alexandria.

Cell: 3.3299 3.6199 7.8158 Å, 90.00 90.00 90.00°
With the nearest neighbours (Å) after each atom.
Space group Imm2 (No. 44)
One atom of each set of equivalent atoms:
1 Ta 0.0000 0.0000 0.0000  8 Co 2.46-2.66, 4 Be 2.61-2.62
2 Be 0.0000 0.5000 0.2429  8 Co 2.46-2.75, 4 Ta 2.61-2.62
3 Co 0.0000 0.0000 0.5081  4 Ta 2.46, 4 Be 2.48-2.75, 4 Co 2.61-2.63
4 Co 0.0000 0.5000 0.7514  4 Be 2.46, 4 Ta 2.58-2.66, 4 Co 2.61-2.63

Summary:
ρ, Mg/m³: 10.9
DFT formation energy, eV per formula unit: -0.67
Final energy, eV per atom: -7.615
Magnetization, μB/atom: 0.000
Fermi-level density of states, states/eV per cell: 3.73

Record 3
First-principles (GGA-PBE) data for a geometry-optimized LaPm5Ge4 structure, as listed in Alexandria.

Cell: 15.6335 5.1824 7.0597 Å, 90.00 90.61 90.00°
With the nearest neighbours (Å) after each atom.
Space group C2/m (No. 12)
One atom of each set of equivalent atoms:
1 La 0.0000 0.0000 0.0000  6 Ge 3.17-3.34, 2 Pm 3.53
2 Pm 0.0000 0.0000 0.5000  6 Ge 3.11-3.30
3 Pm 0.1642 0.5000 0.9946  5 Ge 3.02-3.23
4 Pm 0.1655 0.5000 0.5135  5 Ge 3.02-3.20
5 Ge 0.0099 0.5000 0.2572  6 Pm 3.02-3.23, 2 La 3.17
6 Ge 0.1799 0.0000 0.7494  7 Pm 3.02-3.30, 1 La 3.34

Summary:
ρ, Mg/m³: 6.7
DFT formation energy, eV per formula unit: -6.39
Final energy, eV per atom: -5.354
Magnetization, μB/atom: 0.000
Fermi-level density of states, states/eV per cell: 12.12

The highest magnetization belongs to which entry? ErPuCo2

Among the records above, which one has the highest ρ? ErPuCo2

Which of these has the highest ρ? ErPuCo2

The highest magnetization belongs to which entry? ErPuCo2